A plane-wave DFT calculation with PBE-GGA was carried out for a relaxed structure of ZnNi3N.

a = 5.3435 Å, b = 4.6128 Å, c = 5.2754 Å
α = 90.00°, β = 60.42°, γ = 106.42°
Closest atoms and distances in Å follow each position.
Sites, in units of the cell vectors:
Ni: 0.2512 0.6649 0.9787  2 N 1.86
Ni: 0.7523 0.1709 0.2232  2 N 1.91-1.94
Ni: 0.7422 0.6742 0.4817  2 N 1.83-1.89
Ni: 0.2516 0.6650 0.4746  2 N 1.86
Ni: 0.7523 0.1707 0.7296  2 N 1.91-1.94
Ni: 0.2423 0.1672 0.7314  1 N 1.86
Zn: 0.7652 0.6845 0.9700  11 Ni 2.58-2.70, 1 Zn 2.75
Zn: 0.2737 0.1529 0.2156  1 N 2.13
N: 0.4843 0.9168 0.6103  6 Ni 1.86-1.94
N: 0.9920 0.4377 0.3565  5 Ni 1.83-1.91

Output
The space-group type is No. 8. The uncorrected formation energy comes out at -0.032 eV/atom. As for the final energy: -5.42 eV/atom.


A plane-wave DFT calculation with PBE-GGA was carried out for a relaxed structure of ZnNi3N.

a = 4.5366 Å, b = 4.5366 Å, c = 5.3985 Å
α = 90.07°, β = 90.07°, γ = 108.28°
Closest atoms and distances in Å follow each position.
Sites, in units of the cell vectors:
Ni: 0.3711 0.2218 0.6853  2 N 1.94
Ni: 0.8699 0.7206 0.1603  2 N 1.94
Ni: 0.8711 0.7218 0.6853  2 N 1.94
Ni: 0.8704 0.2211 0.4228  2 N 1.84
Ni: 0.3699 0.2206 0.1603  2 N 1.94
Ni: 0.3705 0.7212 0.4228  2 N 1.84
Zn: 0.3705 0.7212 0.9228  10 Ni 2.60-2.70, 2 Zn 2.66
Zn: 0.8705 0.2212 0.9228  10 Ni 2.60-2.70, 2 Zn 2.66
N: 0.1205 0.9712 0.4228  6 Ni 1.84-1.94
N: 0.6205 0.4712 0.4228  6 Ni 1.84-1.94

Output
The space-group type is No. 10. The uncorrected formation energy comes out at -0.053 eV/atom. As for the final energy: -5.44 eV/atom.


A plane-wave DFT calculation with PBE-GGA was carried out for a relaxed structure of ZrNiN3.

a = 3.6577 Å, b = 3.6577 Å, c = 3.6577 Å
α = 90.00°, β = 90.00°, γ = 90.00°
Closest atoms and distances in Å follow each position.
Sites, in units of the cell vectors:
Ni: 0.0000 0.0000 0.0000  6 N 1.83
Zr: 0.5000 0.5000 0.5000  12 N 2.59
N: 0.0000 0.5000 0.0000  2 Ni 1.83
N: 0.0000 0.0000 0.5000  2 Ni 1.83
N: 0.5000 0.0000 0.0000  2 Ni 1.83

Output
The space-group type is No. 221. The uncorrected formation energy comes out at 0.395 eV/atom. As for the final energy: -7.47 eV/atom.


A plane-wave DFT calculation with PBE-GGA was carried out for a relaxed structure of Zr4NiN2.

a = 3.3188 Å, b = 5.7534 Å, c = 11.7078 Å
α = 90.00°, β = 90.00°, γ = 106.76°
Closest atoms and distances in Å follow each position.
Sites, in units of the cell vectors:
Zr: 0.7665 0.5330 0.1099  3 N 2.28
Zr: 0.7665 0.5330 0.3901  3 N 2.28
Zr: 0.2335 0.4670 0.8901  3 N 2.28
Zr: 0.2335 0.4670 0.6099  3 N 2.28
Zr: 0.9329 0.8658 0.7500  2 N 2.33, 2 Ni 2.59
Zr: 0.0671 0.1342 0.2500  2 N 2.33, 2 Ni 2.59
Zr: 0.5000 0.0000 0.0000  4 N 2.33
Zr: 0.5000 0.0000 0.5000  4 N 2.33
Ni: 0.6132 0.2265 0.7500  6 Zr 2.59-2.68
Ni: 0.3868 0.7735 0.2500  6 Zr 2.59-2.68
N: 0.1339 0.2678 0.4388  6 Zr 2.28-2.33
N: 0.8661 0.7322 0.9388  6 Zr 2.28-2.33
N: 0.1339 0.2678 0.0612  6 Zr 2.28-2.33
N: 0.8661 0.7322 0.5612  6 Zr 2.28-2.33

Output
The space-group type is No. 63. The uncorrected formation energy comes out at -1.160 eV/atom. As for the final energy: -9.25 eV/atom.


A plane-wave DFT calculation with PBE-GGA was carried out for a relaxed structure of ZrNiN.

a = 4.8425 Å, b = 3.2051 Å, c = 10.3754 Å
α = 90.00°, β = 107.63°, γ = 90.00°
Closest atoms and distances in Å follow each position.
Sites, in units of the cell vectors:
Zr: 0.5595 0.0000 0.7204  3 N 2.16-2.20
Zr: 0.5595 0.5000 0.2204  3 N 2.16-2.20
Zr: 0.9091 0.0000 0.5098  4 N 2.19-2.29
Zr: 0.9091 0.5000 0.0098  4 N 2.19-2.29
Ni: 0.3712 0.0000 0.9658  2 N 1.88-1.94
Ni: 0.3712 0.5000 0.4658  2 N 1.88-1.94
Ni: 0.1069 0.0000 0.2663  3 N 2.03-2.19
Ni: 0.1069 0.5000 0.7663  3 N 2.03-2.19
N: 0.7228 0.0000 0.1172  2 Ni 1.94-2.03
N: 0.7228 0.5000 0.6172  2 Ni 1.94-2.03
N: 0.9706 0.0000 0.8775  1 Ni 1.88
N: 0.9706 0.5000 0.3775  1 Ni 1.88

Output
The space-group type is No. 8. The uncorrected formation energy comes out at -0.784 eV/atom. As for the final energy: -8.34 eV/atom.


A plane-wave DFT calculation with PBE-GGA was carried out for a relaxed structure of Zr3NiN.

a = 5.7819 Å, b = 7.9149 Å, c = 7.9149 Å
α = 78.43°, β = 82.71°, γ = 82.71°
Closest atoms and distances in Å follow each position.
Sites, in units of the cell vectors:
Zr: 0.5450 0.1893 0.0211  3 N 2.25-2.30
Zr: 0.0450 0.0211 0.1893  3 N 2.25-2.30
Zr: 0.9550 0.9789 0.8107  3 N 2.25-2.30
Zr: 0.4550 0.8107 0.9789  3 N 2.25-2.30
Zr: 0.9422 0.3114 0.4834  1 N 2.31, 2 Ni 2.55-2.57
Zr: 0.4422 0.4834 0.3114  1 N 2.31, 2 Ni 2.55-2.57
Zr: 0.5578 0.5166 0.6886  1 N 2.31, 2 Ni 2.55-2.57
Zr: 0.0578 0.6886 0.5166  1 N 2.31, 2 Ni 2.55-2.57
Zr: 0.9612 0.6498 0.1376  2 N 2.28-2.33
Zr: 0.4612 0.1376 0.6498  2 N 2.28-2.33
Zr: 0.5388 0.8624 0.3502  2 N 2.28-2.33
Zr: 0.0388 0.3502 0.8624  2 N 2.28-2.33
Ni: 0.8212 0.3407 0.1760  6 Zr 2.55-2.68
Ni: 0.3212 0.1760 0.3407  6 Zr 2.55-2.68
Ni: 0.6788 0.8240 0.6593  6 Zr 2.55-2.68
Ni: 0.1788 0.6593 0.8240  6 Zr 2.55-2.68
N: 0.2500 0.7581 0.2419  6 Zr 2.25-2.31
N: 0.2500 0.0773 0.9227  6 Zr 2.28-2.33
N: 0.7500 0.2419 0.7581  6 Zr 2.25-2.31
N: 0.7500 0.9227 0.0773  6 Zr 2.28-2.33

Output
The space-group type is No. 15. The uncorrected formation energy comes out at -0.678 eV/atom. As for the final energy: -8.63 eV/atom.


What is the final energy in the second record? -5.44 eV/atom


final energy of number 6 (Zr3NiN)? -8.63 eV/atom